1.
# NaGaSeN2

A relaxed NaGaSeN2 crystal (GGA-PBEsol, Alexandria via LeMat-Bulk).

Computed properties:
electronic total energy: -3.338 eV per atom
magnetic moment: 5.2 μB per formula unit

Structure (POSCAR):
```
NaGaSeN2
1.0
4.2986 0.0000 0.0000
0.0000 4.2986 0.0000
0.0000 0.0000 5.4590
Na Ga Se N
1 1 1 2
Cartesian
0.0000 0.0000 0.0000
2.1493 2.1493 2.7295
0.0000 0.0000 2.7295
0.0000 2.1493 0.0000
2.1493 0.0000 0.0000
```

=====

2.
# MnBiPIr2

A relaxed MnBiPIr2 crystal (GGA-PBEsol, Alexandria via LeMat-Bulk).

Computed properties:
ΔH_f (0 K): 340 meV per atom
magnetic moment: 3.1 μB per formula unit

Structure (POSCAR):
```
MnBiPIr2
1.0
4.4680 0.0000 0.0000
0.0000 4.4680 0.0000
0.0000 0.0000 4.4104
Mn Bi P Ir
1 1 1 2
Cartesian
0.0000 0.0000 0.0000
2.2340 2.2340 0.0000
0.0000 0.0000 2.2052
0.0000 2.2340 2.2052
2.2340 0.0000 2.2052
```

=====

3.
# K2AlOs

A relaxed K2AlOs crystal (GGA-PBEsol, Alexandria via LeMat-Bulk).

Computed properties:
ΔH_f (0 K): 1329 meV per atom
magnetic moment: 1.0 μB per formula unit

Structure (POSCAR):
```
K2AlOs
1.0
4.4667 0.0000 0.0000
0.0000 4.4667 0.0000
0.0000 0.0000 5.2631
K Al Os
2 1 1
Cartesian
0.0000 0.0000 1.2962
0.0000 0.0000 3.9670
2.2333 2.2333 2.6316
2.2333 2.2333 0.0000
```

=====

4.
# ZnH2Br

A relaxed ZnH2Br crystal (GGA-PBEsol, Alexandria via LeMat-Bulk).

Computed properties:
electronic total energy: -2.194 eV per atom
magnetic moment: 1.0 μB per formula unit

Structure (POSCAR):
```
ZnH2Br
1.0
0.0000 3.7980 3.7980
3.7980 0.0000 3.7980
3.7980 3.7980 0.0000
Zn H Br
2 4 2
Cartesian
0.9495 0.9495 0.9495
6.6466 6.6466 6.6466
0.0000 0.0000 0.0000
1.8990 1.8990 0.0000
1.8990 0.0000 1.8990
0.0000 1.8990 1.8990
2.8485 2.8485 2.8485
4.7476 4.7476 4.7476
```

=====

Number 1: DOS at the Fermi energy 2.44 states/eV/f.u.. Number 2: DOS at the Fermi energy 4.37 states/eV/f.u.. Number 3: DOS at the Fermi energy 4.59 states/eV/f.u.. Number 4: DOS at the Fermi energy 2.68 states/eV/f.u..